# 1
Zr2BeAu | PBE | relaxed

Cell and atoms, written as CIF:
```
data_Zr2BeAu
_chemical_formula_sum 'Zr6 Be3 Au3'
_symmetry_space_group_name_H-M 'R -3 m'
_symmetry_Int_Tables_number 166
_symmetry_space_group_name_Hall '-R 3 2"'
_cell_length_a 3.3237
_cell_length_b 3.3237
_cell_length_c 24.0237
_cell_angle_alpha 90.00
_cell_angle_beta 90.00
_cell_angle_gamma 120.00
loop_
_atom_site_label
_atom_site_type_symbol
_atom_site_fract_x
_atom_site_fract_y
_atom_site_fract_z
_atom_site_occupancy
Zr1 Zr 0.0000 0.0000 0.2383 1
Be1 Be 0.0000 0.0000 0.5000 1
Au1 Au 0.0000 0.0000 0.0000 1
```

Calculated values
E_form (kJ/mol of formula units): -20

***

# 2
ScIr2Br | PBE | relaxed

Cell and atoms, written as CIF:
```
data_ScIr2Br
_chemical_formula_sum 'Sc3 Ir6 Br3'
_symmetry_space_group_name_H-M 'R -3 m'
_symmetry_Int_Tables_number 166
_symmetry_space_group_name_Hall '-R 3 2"'
_cell_length_a 3.0521
_cell_length_b 3.0521
_cell_length_c 26.2035
_cell_angle_alpha 90.00
_cell_angle_beta 90.00
_cell_angle_gamma 120.00
loop_
_atom_site_label
_atom_site_type_symbol
_atom_site_fract_x
_atom_site_fract_y
_atom_site_fract_z
_atom_site_occupancy
Sc1 Sc 0.0000 0.0000 0.0000 1
Ir1 Ir 0.0000 0.0000 0.2540 1
Br1 Br 0.0000 0.0000 0.5000 1
```

Calculated values
Distance to the lowest polymorph of the same formula (meV/atom): 451.4
Uncorrected formation energy (eV per atom): 0.15

***

# 3
BaFeP2S8 | PBE | relaxed

Cell and atoms, written as CIF:
```
data_BaFeP2S8
_chemical_formula_sum 'Ba1 Fe1 P2 S8'
_symmetry_space_group_name_H-M 'P -3'
_symmetry_Int_Tables_number 147
_cell_length_a 5.8470
_cell_length_b 5.8470
_cell_length_c 8.7682
_cell_angle_alpha 90.00
_cell_angle_beta 90.00
_cell_angle_gamma 120.00
loop_
_symmetry_equiv_pos_as_xyz
'x,y,z'
'-x,-y,-z'
'-y,x-y,z'
'y,-x+y,-z'
'-x+y,-x,z'
'x-y,x,-z'
loop_
_atom_site_label
_atom_site_type_symbol
_atom_site_fract_x
_atom_site_fract_y
_atom_site_fract_z
_atom_site_occupancy
Ba1 Ba 0.0000 0.0000 0.0000 1
Fe1 Fe 0.0000 0.0000 0.5000 1
P1 P 0.3333 0.6667 0.7162 1
S1 S 0.0070 0.6888 0.3429 1
S2 S 0.3333 0.6667 0.9461 1
```

Calculated values
Uncorrected formation energy (eV per atom): -0.51

***

# 4
HgTe6 | PBE | relaxed

Cell and atoms, written as CIF:
```
data_HgTe6
_chemical_formula_sum 'Hg2 Te12'
_symmetry_space_group_name_H-M 'I m -3 m'
_symmetry_Int_Tables_number 229
_symmetry_space_group_name_Hall '-I 4 2 3'
_cell_length_a 8.768
_cell_length_b 8.768
_cell_length_c 8.768
_cell_angle_alpha 90.00
_cell_angle_beta 90.00
_cell_angle_gamma 90.00
loop_
_atom_site_label
_atom_site_type_symbol
_atom_site_fract_x
_atom_site_fract_y
_atom_site_fract_z
_atom_site_occupancy
Hg1 Hg 0.000 0.000 0.000 1
Te1 Te 0.000 0.250 0.500 1
```

Calculated values
Uncorrected formation energy (eV per atom): 0.40

***

# 5
Sr4ThHg5 | PBE | relaxed

Cell and atoms, written as CIF:
```
data_Sr4ThHg5
_chemical_formula_sum 'Sr4 Th1 Hg5'
_symmetry_space_group_name_H-M 'P 4/m m m'
_symmetry_Int_Tables_number 123
_symmetry_space_group_name_Hall '-P 4 2'
_cell_length_a 3.918
_cell_length_b 3.918
_cell_length_c 20.215
_cell_angle_alpha 90.00
_cell_angle_beta 90.00
_cell_angle_gamma 90.00
loop_
_atom_site_label
_atom_site_type_symbol
_atom_site_fract_x
_atom_site_fract_y
_atom_site_fract_z
_atom_site_occupancy
Sr1 Sr 0.000 0.000 0.101 1
Sr2 Sr 0.000 0.000 0.304 1
Th1 Th 0.000 0.000 0.500 1
Hg1 Hg 0.500 0.500 0.000 1
Hg2 Hg 0.500 0.500 0.202 1
Hg3 Hg 0.500 0.500 0.409 1
```

Calculated values
E_form (kJ/mol of formula units): -439

***

# 6
Er5TeS4 | PBE | relaxed

Cell and atoms, written as CIF:
```
data_Er5TeS4
_chemical_formula_sum 'Er10 Te2 S8'
_symmetry_space_group_name_H-M 'C 1 2/m 1'
_symmetry_Int_Tables_number 12
_cell_length_a 13.222
_cell_length_b 3.930
_cell_length_c 9.728
_cell_angle_alpha 90.00
_cell_angle_beta 119.81
_cell_angle_gamma 90.00
loop_
_symmetry_equiv_pos_as_xyz
'x,y,z'
'-x,-y,-z'
'-x,y,-z'
'x,-y,z'
'x+1/2,y+1/2,z'
'-x+1/2,-y+1/2,-z'
'-x+1/2,y+1/2,-z'
'x+1/2,-y+1/2,z'
loop_
_atom_site_label
_atom_site_type_symbol
_atom_site_fract_x
_atom_site_fract_y
_atom_site_fract_z
_atom_site_occupancy
Er1 Er 0.000 0.000 0.000 1
Er2 Er 0.116 0.500 0.386 1
Er3 Er 0.212 0.000 0.821 1
Te1 Te 0.000 0.000 0.500 1
S1 S 0.092 0.500 0.892 1
S2 S 0.206 0.000 0.291 1
```

Calculated values
Uncorrected formation energy (eV per atom): -1.77

***

# 7
EuLu2In | PBE | relaxed

Cell and atoms, written as CIF:
```
data_EuLu2In
_chemical_formula_sum 'Eu4 Lu8 In4'
_symmetry_space_group_name_H-M 'F m -3 m'
_symmetry_Int_Tables_number 225
_symmetry_space_group_name_Hall '-F 4 2 3'
_cell_length_a 7.686
_cell_length_b 7.686
_cell_length_c 7.686
_cell_angle_alpha 90.00
_cell_angle_beta 90.00
_cell_angle_gamma 90.00
loop_
_atom_site_label
_atom_site_type_symbol
_atom_site_fract_x
_atom_site_fract_y
_atom_site_fract_z
_atom_site_occupancy
Eu1 Eu 0.000 0.000 0.000 1
Lu1 Lu 0.250 0.250 0.250 1
In1 In 0.000 0.000 0.500 1
```

Calculated values
E_form (kJ/mol of formula units): -25
Distance to the lowest polymorph of the same formula (meV/atom): 122.4

***

# 8
YMgPd2 | PBE | relaxed

Cell and atoms, written as CIF:
```
data_YMgPd2
_chemical_formula_sum 'Y2 Mg2 Pd4'
_symmetry_space_group_name_H-M 'I m m m'
_symmetry_Int_Tables_number 71
_symmetry_space_group_name_Hall '-I 2 2'
_cell_length_a 3.039
_cell_length_b 5.247
_cell_length_c 10.393
_cell_angle_alpha 90.00
_cell_angle_beta 90.00
_cell_angle_gamma 90.00
loop_
_atom_site_label
_atom_site_type_symbol
_atom_site_fract_x
_atom_site_fract_y
_atom_site_fract_z
_atom_site_occupancy
Y1 Y 0.000 0.000 0.000 1
Mg1 Mg 0.000 0.000 0.500 1
Pd1 Pd 0.000 0.000 0.261 1
```

Calculated values
E_form (kJ/mol of formula units): 16